# 1
The following is a PBE-GGA calculation of crystalline Li3VP at its relaxed geometry, from Alexandria. Values from VASP.

Formation energy   1057 meV per atom
Total energy   -3.00 eV/atom
Excess energy over the best structure of this formula in the dataset   727 meV per atom
Fermi-level density of states   2.121 states/eV per cell

Structure (Quantum ESPRESSO input):
```
&SYSTEM
  ibrav = 0, nat = 5, ntyp = 3
/
ATOMIC_SPECIES
P 30.97 P.upf
V 50.94 V.upf
Li 6.94 Li.upf
ATOMIC_POSITIONS crystal
P 0.5000 0.5000 0.5000
V 0.0000 0.0000 0.0000
Li 0.0000 0.5000 0.0000
Li 0.0000 0.0000 0.5000
Li 0.5000 0.0000 0.0000
CELL_PARAMETERS angstrom
4.6699 0.0000 0.0000
0.0000 4.6699 0.0000
0.0000 0.0000 4.6699
```


# 2
The following is a PBE-GGA calculation of crystalline LiVP3 at its relaxed geometry, from Alexandria. Values from VASP.

Formation energy   56 meV per atom
Total energy   -5.40 eV/atom
Excess energy over the best structure of this formula in the dataset   0 meV per atom
Fermi-level density of states   6.076 states/eV per cell

Structure (Quantum ESPRESSO input):
```
&SYSTEM
  ibrav = 0, nat = 5, ntyp = 3
/
ATOMIC_SPECIES
P 30.97 P.upf
V 50.94 V.upf
Li 6.94 Li.upf
ATOMIC_POSITIONS crystal
P 0.0000 0.5000 0.0000
P 0.0000 0.0000 0.5000
P 0.5000 0.0000 0.0000
V 0.0000 0.0000 0.0000
Li 0.5000 0.5000 0.5000
CELL_PARAMETERS angstrom
4.5603 0.0000 0.0000
0.0000 4.5603 0.0000
0.0000 0.0000 4.5603
```


# 3
The following is a PBE-GGA calculation of crystalline Li3VP at its relaxed geometry, from Alexandria. Values from VASP.

Formation energy   331 meV per atom
Total energy   -3.72 eV/atom
Excess energy over the best structure of this formula in the dataset   0 meV per atom
Fermi-level density of states   7.048 states/eV per cell

Structure (Quantum ESPRESSO input):
```
&SYSTEM
  ibrav = 0, nat = 5, ntyp = 3
/
ATOMIC_SPECIES
P 30.97 P.upf
V 50.94 V.upf
Li 6.94 Li.upf
ATOMIC_POSITIONS crystal
P 0.0000 0.0000 0.0000
V 0.5000 0.5000 0.5000
Li 0.0000 0.5000 0.0000
Li 0.0000 0.0000 0.5000
Li 0.5000 0.0000 0.0000
CELL_PARAMETERS angstrom
-2.0869 1.3349 3.8526
1.0952 -3.9854 1.9741
3.9275 1.8206 1.4966
```


# 4
The following is a PBE-GGA calculation of crystalline LiPW4 at its relaxed geometry, from Alexandria. Values from VASP.

Formation energy   908 meV per atom
Total energy   -8.95 eV/atom
Fermi-level density of states   2.473 states/eV per cell

Structure (Quantum ESPRESSO input):
```
&SYSTEM
  ibrav = 0, nat = 6, ntyp = 3
/
ATOMIC_SPECIES
Li 6.94 Li.upf
P 30.97 P.upf
W 183.84 W.upf
ATOMIC_POSITIONS crystal
Li 0.2500 0.2500 0.2500
P 0.0000 0.0000 0.0000
W 0.6231 0.6231 0.1306
W 0.6231 0.1306 0.6231
W 0.6231 0.6231 0.6231
W 0.1306 0.6231 0.6231
CELL_PARAMETERS angstrom
-1.2411 -3.4833 3.7712
-3.9039 1.0624 3.3950
-4.5412 -2.6829 -0.2741
```


# 5
The following is a PBE-GGA calculation of crystalline LiP3W at its relaxed geometry, from Alexandria. Values from VASP.

Formation energy   1229 meV per atom
Total energy   -4.99 eV/atom
Excess energy over the best structure of this formula in the dataset   977 meV per atom
Fermi-level density of states   5.472 states/eV per cell

Structure (Quantum ESPRESSO input):
```
&SYSTEM
  ibrav = 0, nat = 5, ntyp = 3
/
ATOMIC_SPECIES
P 30.97 P.upf
W 183.84 W.upf
Li 6.94 Li.upf
ATOMIC_POSITIONS crystal
P 0.0000 0.5000 0.0000
P 0.0000 0.0000 0.5000
P 0.5000 0.0000 0.0000
W 0.5000 0.5000 0.5000
Li 0.0000 0.0000 0.0000
CELL_PARAMETERS angstrom
-3.0932 2.3233 -1.6077
-2.7738 -2.0439 2.3831
0.5372 2.8241 3.0473
```


# 6
The following is a PBE-GGA calculation of crystalline LiPW3 at its relaxed geometry, from Alexandria. Values from VASP.

Formation energy   1045 meV per atom
Total energy   -8.19 eV/atom
Excess energy over the best structure of this formula in the dataset   0 meV per atom
Fermi-level density of states   6.720 states/eV per cell

Structure (Quantum ESPRESSO input):
```
&SYSTEM
  ibrav = 0, nat = 5, ntyp = 3
/
ATOMIC_SPECIES
P 30.97 P.upf
W 183.84 W.upf
Li 6.94 Li.upf
ATOMIC_POSITIONS crystal
P 0.0000 0.0000 0.0000
W 0.0000 0.5000 0.0000
W 0.0000 0.0000 0.5000
W 0.5000 0.0000 0.0000
Li 0.5000 0.5000 0.5000
CELL_PARAMETERS angstrom
4.4817 0.0000 0.0000
0.0000 4.4817 0.0000
0.0000 0.0000 4.4817
```


no.,magnetic moment (μB per formula unit)
1,4.24
2,0.00
3,4.32
4,0.00
5,0.00
6,0.00